CoP2RuRh: relaxed, PBE.

```
CoP2RuRh
1.0
4.389 0.000 0.000
0.000 4.985 0.000
0.000 0.000 4.389
Ru Rh P Co
1 1 2 1
Direct
0.000 0.000 0.000
0.000 0.500 0.000
0.500 0.000 0.000
0.000 0.000 0.500
0.500 0.500 0.500
```

Values from the calculation:
Density (g cm⁻³): 5.6
Total moment (μB per formula unit): 3.6
Formation energy (meV per atom): 1149
Total energy (eV/atom): -5.76
Symmetry: P4/mmm, No. 123
D(E_F) (states/eV/atom): 1.9984